1.
Compound: Cu4S3N
Source: Alexandria
Functional: GGA-PBE
Structure: optimized geometry

Calculated values
Fermi-level density of states in states/eV per cell: 5.64
Formation energy from raw total energies in meV/atom: 547.9

Cell lengths 3.9112, 3.9112, 8.6838 Å; angles 90.00, 90.00, 90.00 degrees
Space group P4/mmm (No. 123)
Unique sites:
Cu1 0.0000 0.5000 0.1744 (multiplicity 4)
S1 0.0000 0.0000 0.0000 (multiplicity 1)
S2 0.5000 0.5000 0.3036 (multiplicity 2)
N1 0.0000 0.0000 0.5000 (multiplicity 1)

2.
Compound: CuS2N2
Source: Alexandria
Functional: GGA-PBE
Structure: optimized geometry

Calculated values
Fermi-level density of states in states/eV per cell: 3.94
Formation energy from raw total energies in meV/atom: 1302.2
Excess energy over the best structure of this formula in the dataset in meV/atom: 0

Cell lengths 3.3246, 3.3246, 6.4911 Å; angles 90.00, 90.00, 90.00 degrees
Space group P4/mmm (No. 123)
Unique sites:
Cu1 0.0000 0.0000 0.0000 (multiplicity 1)
S1 0.5000 0.5000 0.0000 (multiplicity 1)
S2 0.5000 0.5000 0.5000 (multiplicity 1)
N1 0.0000 0.5000 0.5000 (multiplicity 2)

3.
Compound: CuS2N2
Source: Alexandria
Functional: GGA-PBE
Structure: optimized geometry

Calculated values
Fermi-level density of states in states/eV per cell: 3.12
Formation energy from raw total energies in meV/atom: 1648.4
Excess energy over the best structure of this formula in the dataset in meV/atom: 346

Cell lengths 3.5115, 3.5115, 7.7781 Å; angles 90.00, 90.00, 90.00 degrees
Space group P4/mmm (No. 123)
Unique sites:
Cu1 0.0000 0.0000 0.0000 (multiplicity 1)
S1 0.0000 0.0000 0.5000 (multiplicity 1)
S2 0.5000 0.5000 0.5000 (multiplicity 1)
N1 0.0000 0.5000 0.0000 (multiplicity 2)

4.
Compound: CuSN2
Source: Alexandria
Functional: GGA-PBE
Structure: optimized geometry

Calculated values
Fermi-level density of states in states/eV per cell: 8.42
Formation energy from raw total energies in meV/atom: 1012.4

Cell lengths 3.1283, 3.1283, 16.0206 Å; angles 90.00, 90.00, 120.00 degrees
Space group R-3m (No. 166, hexagonal axes)
Unique sites:
Cu1 0.0000 0.0000 0.0000 (multiplicity 3)
S1 0.0000 0.0000 0.5000 (multiplicity 3)
N1 0.0000 0.0000 0.3982 (multiplicity 6)